(1)
DFT (GGA-PBE) results for KHSe2 after structural relaxation.

Structure (POSCAR):
```
KHSe2
1.0
-0.966 4.281 -3.062
-3.435 -2.872 -2.932
-7.177 2.496 1.079
H K Se
2 2 4
Cartesian
-2.201 0.705 -2.997
-6.406 0.165 -2.425
0.000 0.000 0.000
-5.172 3.741 -2.490
-2.587 1.875 -1.248
-4.302 0.431 -2.708
-7.889 1.686 -2.169
-8.378 3.821 -3.705
```

Calculated values
Calculated total energy (Ry/atom): -0.2229
Space-group type: No. 141
D(E_F) (states/eV/f.u.): 2.8
Total moment (μB/cell): 0.00
Relative energy among the computed polymorphs (meV/atom): 279

---

(2)
DFT (GGA-PBE) results for Pu2Sn3Pb3 after structural relaxation.

Structure (POSCAR):
```
Pu2Sn3Pb3
1.0
-2.243 4.120 0.906
-2.668 -0.593 -3.908
-6.510 -4.679 5.155
Pu Sn Pb
2 3 3
Cartesian
-4.845 -3.481 3.836
-1.666 -1.197 1.319
-4.377 -0.279 3.031
-1.334 -0.296 -1.954
-4.589 -2.636 0.624
-7.321 -1.733 2.352
-4.100 0.581 -0.198
-1.121 2.060 0.453
```

Calculated values
Calculated total energy (Ry/atom): -0.4936
Space-group type: No. 47
D(E_F) (states/eV/f.u.): 21.2
ΔH_f (0 K) (eV per atom): -0.24
Total moment (μB/cell): 11.24
Relative energy among the computed polymorphs (meV/atom): 0

---

(3)
DFT (GGA-PBE) results for NaDy4S5 after structural relaxation.

Structure (POSCAR):
```
NaDy4S5
1.0
3.855 0.000 -0.744
-0.284 5.310 -1.474
0.012 0.027 10.425
Na Dy S
1 4 5
Cartesian
0.000 0.000 0.000
1.436 2.142 7.441
2.850 4.244 4.410
0.733 1.093 3.798
2.147 3.195 0.766
2.301 0.558 1.564
3.011 1.618 5.246
0.571 3.720 2.961
-0.142 2.655 -0.737
1.282 4.780 6.643
```

Calculated values
Calculated total energy (Ry/atom): -0.4393
Space-group type: No. 71
D(E_F) (states/eV/f.u.): 2.4
ΔE_f (raw) (eV/atom): -1.941
Total moment (μB/cell): 0.00

---

Q: What is the formula in the third record?
A: NaDy4S5